The following is a DFT calculation (PBE with a Hubbard U) of an optimized crystal structure of CsV2HO.

## Properties
M_tot in μB/cell: 6.0
Uncorrected energy in eV/atom: -4.7615
Density of states at the Fermi level in states/eV/f.u.: 0.246
Calculated density in g/cm3: 3.1
Space group: P4/mmm, No. 123

abc: 4.120 8.024 4.120
angles: 90.00 90.00 90.00
Atoms (fractional coordinates):
1 Cs 0.500 0.500 0.500
2 H 0.000 0.500 0.000
3 O 0.000 0.000 0.000
4 V 0.000 0.000 0.500
5 V 0.500 0.000 0.000